[1]
Entry from Alexandria: Y2GaCo2Ni5 after structural relaxation (PBE-GGA).

## Properties
* formation enthalpy at 0 K: -2.116 eV per formula unit
* D(E_F): 27.2 states/eV/cell
* total magnetic moment: 5.14 μB per cell

a b c (Å): 8.7993 8.7993 3.7280
angles (deg): 90.00 90.00 90.00
Space group P4/mbm (No. 127)
One atom of each set of equivalent atoms:
Y (0.1775, 0.3225, 0.0000)
Ga (0.0000, 0.0000, 0.0000)
Co (0.1206, 0.6206, 0.0000)
Ni (0.0000, 0.5000, 0.5000)
Ni (0.0618, 0.7930, 0.5000)


[2]
Entry from Alexandria: YGa4Co2Ni after structural relaxation (PBE-GGA).

## Properties
* formation enthalpy at 0 K: -3.169 eV per formula unit
* D(E_F): 16.8 states/eV/cell
* total magnetic moment: 0.01 μB per cell

a b c (Å): 4.0685 4.0685 25.6391
angles (deg): 90.00 90.00 120.00
Space group R-3m (No. 166, hexagonal axes)
One atom of each set of equivalent atoms:
Y (0.0000, 0.0000, 0.0000)
Ga (0.0000, 0.0000, 0.1310)
Ga (0.0000, 0.0000, 0.4034)
Co (0.0000, 0.0000, 0.2299)
Ni (0.0000, 0.0000, 0.5000)


[3]
Entry from Alexandria: YGaCoNi after structural relaxation (PBE-GGA).

## Properties
* formation enthalpy at 0 K: -1.133 eV per formula unit
* D(E_F): 10.8 states/eV/cell
* total magnetic moment: 2.54 μB per cell

a b c (Å): 6.2774 6.2774 6.2774
angles (deg): 90.00 90.00 90.00
Space group F-43m (No. 216)
One atom of each set of equivalent atoms:
Y (0.0000, 0.0000, 0.0000)
Ga (0.0000, 0.0000, 0.5000)
Co (0.2500, 0.2500, 0.7500)
Ni (0.2500, 0.2500, 0.2500)


[4]
Entry from Alexandria: ZrGaCoNi after structural relaxation (PBE-GGA).

## Properties
* formation enthalpy at 0 K: -1.800 eV per formula unit
* D(E_F): 17.2 states/eV/cell
* total magnetic moment: 0.03 μB per cell

a b c (Å): 6.0995 6.0995 6.0995
angles (deg): 90.00 90.00 90.00
Space group F-43m (No. 216)
One atom of each set of equivalent atoms:
Zr (0.0000, 0.0000, 0.0000)
Ga (0.0000, 0.0000, 0.5000)
Co (0.2500, 0.2500, 0.7500)
Ni (0.2500, 0.2500, 0.2500)